Compound: Tm3Mg2Ag4
Source: Alexandria via LeMat-Bulk
Functional: PBE
Structure: relaxed

```
Tm3Mg2Ag4
1.0
4.987 0.000 0.000
-2.494 4.313 0.316
0.000 -0.677 9.178
Tm Mg Ag
3 2 4
Cartesian
0.000 2.475 5.666
0.000 0.000 0.000
2.493 1.161 3.828
0.000 2.724 2.247
2.493 0.912 7.247
2.493 1.382 0.883
0.000 -0.443 6.078
2.493 4.079 3.416
0.000 2.253 8.611
```

Properties
- Fermi-level density of states: 0.760 states/eV/atom
- DFT total energy: -0.123 Ha/atom
- Energy of formation from the pure elements: -0.233 eV/atom